{"formula": "Pm10Bi3Te3", "functional": "PBE-GGA", "state": "relaxed", "dos_ef_per_ev_atom": 0.683, "mass_density_g_cm3": 8.36, "e_form_raw_kj_per_mol_atoms": -88.6, "crystal_system": "hexagonal", "cell": [[9.366, 0.000, 0.000], [-4.683, 8.111, 0.000], [0.000, 0.000, 6.429]], "species": ["Pm", "Pm", "Pm", "Pm", "Pm", "Pm", "Pm", "Pm", "Pm", "Pm", "Bi", "Bi", "Bi", "Te", "Te", "Te"], "fractional_positions": [[0.000, 0.252, 0.000], [0.000, 0.748, 0.500], [0.252, 0.000, 0.000], [0.252, 0.252, 0.500], [0.333, 0.667, 0.251], [0.333, 0.667, 0.749], [0.667, 0.333, 0.251], [0.667, 0.333, 0.749], [0.748, 0.000, 0.500], [0.748, 0.748, 0.000], [0.000, 0.613, 0.000], [0.387, 0.387, 0.000], [0.613, 0.000, 0.000], [0.000, 0.384, 0.500], [0.384, 0.000, 0.500], [0.616, 0.616, 0.500]]}